{
  "formula": "Rb3TlFe4Br12",
  "functional": "PBE-GGA",
  "state": "relaxed",
  "lattice": [[7.887, 4.553, 4.408], [-7.887, 4.553, 4.408], [0.000, -9.107, 4.408]],
  "species": ["Rb", "Rb", "Rb", "Tl", "Fe", "Fe", "Fe", "Fe", "Br", "Br", "Br", "Br", "Br", "Br", "Br", "Br", "Br", "Br", "Br", "Br"],
  "frac_coords": [[0.000, 0.522, 0.478], [0.478, 0.000, 0.522], [0.522, 0.478, 0.000], [0.000, 0.000, 0.000], [0.032, 0.500, 0.968], [0.500, 0.500, 0.500], [0.500, 0.968, 0.032], [0.968, 0.032, 0.500], [0.035, 0.664, 0.834], [0.117, 0.883, 0.500], [0.166, 0.336, 0.965], [0.336, 0.965, 0.166], [0.352, 0.648, 0.500], [0.500, 0.117, 0.883], [0.500, 0.352, 0.648], [0.648, 0.500, 0.352], [0.664, 0.834, 0.035], [0.834, 0.035, 0.664], [0.883, 0.500, 0.117], [0.965, 0.166, 0.336]],
  "e_form_raw_ev_per_atom": -0.799
}

---

{
  "formula": "CeYSnGe",
  "functional": "PBE-GGA",
  "state": "relaxed",
  "lattice": [[0.000, 3.725, 3.725], [3.725, 0.000, 3.725], [3.725, 3.725, 0.000]],
  "species": ["Ce", "Y", "Sn", "Ge"],
  "frac_coords": [[0.000, 0.000, 0.000], [0.500, 0.500, 0.500], [0.750, 0.750, 0.750], [0.250, 0.250, 0.250]],
  "e_form_mev_per_atom": -542
}

---

{
  "formula": "KCrCd",
  "functional": "PBE-GGA",
  "state": "relaxed",
  "lattice": [[-1.918, 1.918, 6.308], [1.918, -1.918, 6.308], [1.918, 1.918, -6.308]],
  "species": ["K", "Cr", "Cd"],
  "frac_coords": [[0.000, 0.000, 0.000], [0.281, 0.281, 0.000], [0.715, 0.715, 0.000]],
  "polymorph_energy_kcal_per_mol_atoms": 0.00,
  "e_form_mev_per_atom": 585
}

---

{
  "formula": "Pa2InPt9",
  "functional": "PBE-GGA",
  "state": "relaxed",
  "lattice": [[4.161, 0.000, 0.000], [0.000, 4.161, 0.000], [0.000, 0.000, 12.267]],
  "species": ["Pa", "Pa", "In", "Pt", "Pt", "Pt", "Pt", "Pt", "Pt", "Pt", "Pt", "Pt"],
  "frac_coords": [[0.000, 0.000, 0.172], [0.000, 0.000, 0.828], [0.000, 0.000, 0.500], [0.000, 0.500, 0.000], [0.000, 0.500, 0.334], [0.000, 0.500, 0.666], [0.500, 0.000, 0.000], [0.500, 0.000, 0.334], [0.500, 0.000, 0.666], [0.500, 0.500, 0.169], [0.500, 0.500, 0.500], [0.500, 0.500, 0.831]],
  "e_form_mev_per_atom": -820
}

---

{
  "formula": "NiBIr",
  "functional": "PBE-GGA",
  "state": "relaxed",
  "lattice": [[0.000, 2.553, 2.553], [2.553, 0.000, 2.553], [2.553, 2.553, 0.000]],
  "species": ["Ni", "B", "Ir"],
  "frac_coords": [[0.000, 0.000, 0.000], [0.250, 0.250, 0.250], [0.500, 0.500, 0.500]],
  "e_form_mev_per_atom": -212
}

---

{
  "formula": "LaPaTcN4",
  "functional": "PBE-GGA",
  "state": "relaxed",
  "lattice": [[-1.942, 1.942, 6.308], [1.942, -1.942, 6.308], [1.942, 1.942, -6.308]],
  "species": ["La", "Pa", "Tc", "N", "N", "N", "N"],
  "frac_coords": [[0.000, 0.000, 0.000], [0.710, 0.710, 0.000], [0.346, 0.346, 0.000], [0.182, 0.182, 0.000], [0.344, 0.844, 0.500], [0.542, 0.542, 0.000], [0.844, 0.344, 0.500]],
  "e_form_raw_ev_per_atom": -1.021
}

---

{
  "formula": "K3Se4",
  "functional": "PBE-GGA",
  "state": "relaxed",
  "lattice": [[10.617, -2.160, 0.000], [10.617, 2.160, 0.000], [-0.279, 0.000, 5.047]],
  "species": ["K", "K", "K", "Se", "Se", "Se", "Se"],
  "frac_coords": [[0.000, 0.000, 0.000], [0.176, 0.176, 0.297], [0.824, 0.824, 0.703], [0.335, 0.335, 0.211], [0.435, 0.435, 0.469], [0.565, 0.565, 0.531], [0.665, 0.665, 0.789]],
  "e_form_raw_ev_per_atom": -0.786,
  "polymorph_energy_kcal_per_mol_atoms": 0.00
}

---

{
  "formula": "SrLiTh2N4",
  "functional": "PBE-GGA",
  "state": "relaxed",
  "lattice": [[1.850, -5.984, 0.000], [1.850, 5.984, 0.000], [0.000, 0.000, 11.902]],
  "species": ["Sr", "Sr", "Li", "Li", "Th", "Th", "Th", "Th", "N", "N", "N", "N", "N", "N", "N", "N"],
  "frac_coords": [[0.098, 0.902, 0.750], [0.902, 0.098, 0.250], [0.174, 0.826, 0.250], [0.826, 0.174, 0.750], [0.367, 0.633, 0.560], [0.367, 0.633, 0.940], [0.633, 0.367, 0.060], [0.633, 0.367, 0.440], [0.000, 0.000, 0.000], [0.000, 0.000, 0.500], [0.258, 0.742, 0.106], [0.258, 0.742, 0.394], [0.426, 0.574, 0.750], [0.574, 0.426, 0.250], [0.742, 0.258, 0.606], [0.742, 0.258, 0.894]],
  "e_form_raw_ev_per_atom": -1.117
}

---

{
  "formula": "Hf2ScIn3",
  "functional": "PBE-GGA",
  "state": "relaxed",
  "lattice": [[3.128, 0.000, 0.000], [0.000, 3.128, 0.000], [0.000, 0.000, 13.404]],
  "species": ["Hf", "Hf", "Sc", "In", "In", "In"],
  "frac_coords": [[0.000, 0.000, 0.164], [0.000, 0.000, 0.836], [0.000, 0.000, 0.500], [0.500, 0.500, 0.000], [0.500, 0.500, 0.332], [0.500, 0.500, 0.668]],
  "e_form_mev_per_atom": -245
}

---

{
  "formula": "PuTa2Os",
  "functional": "PBE-GGA",
  "state": "relaxed",
  "lattice": [[3.114, 0.000, 0.000], [0.000, 3.114, 0.000], [0.000, 0.000, 7.699]],
  "species": ["Pu", "Ta", "Ta", "Os"],
  "frac_coords": [[0.000, 0.000, 0.000], [0.500, 0.500, 0.285], [0.500, 0.500, 0.715], [0.000, 0.000, 0.500]],
  "polymorph_energy_kcal_per_mol_atoms": 0.00,
  "e_form_mev_per_atom": 12
}

---

{
  "formula": "As2IrPt",
  "functional": "PBE-GGA",
  "state": "relaxed",
  "lattice": [[-1.421, 2.299, 5.599], [1.421, -2.299, 5.599], [1.421, 2.299, -5.599]],
  "species": ["As", "As", "Ir", "Pt"],
  "frac_coords": [[0.187, 0.187, 0.000], [0.813, 0.813, 0.000], [0.000, 0.500, 0.500], [0.500, 0.000, 0.500]],
  "polymorph_energy_kcal_per_mol_atoms": 5.52,
  "e_form_mev_per_atom": 155
}

---

{
  "formula": "LaSc2Cd",
  "functional": "PBE-GGA",
  "state": "relaxed",
  "lattice": [[3.472, 0.000, 0.000], [0.000, 4.545, 0.000], [0.000, 0.000, 6.780]],
  "species": ["La", "Sc", "Sc", "Cd"],
  "frac_coords": [[0.000, 0.000, 0.000], [0.000, 0.000, 0.507], [0.500, 0.500, 0.288], [0.500, 0.500, 0.734]],
  "e_form_mev_per_atom": -70
}

---

Calculated E_tot, -75.16; -23.19; -9.88; -85.94; -21.96; -65.24; -22.73; -121.35; -35.92; -49.22; -23.58; -18.79 eV/cell (same order as the records).